No. 1
{"formula": "TiZnRu3", "functional": "PBE", "state": "optimized geometry", "lattice_angstrom": [[-2.179, 3.633, -1.329], [-2.611, -2.506, -2.571], [-2.854, -0.480, 3.366]], "species": ["Ru", "Ru", "Ru", "Zn", "Ti"], "fractional_positions": [[0.000, 0.500, 0.000], [0.000, 0.000, 0.500], [0.500, 0.000, 0.000], [0.000, 0.000, 0.000], [0.500, 0.500, 0.500]], "energy_ev_per_atom": -6.195, "magmom_total_mub_per_cell": 0.0, "polymorph_energy_ev_per_atom": 0.085}

---

No. 2
{"formula": "LaTeI3", "functional": "PBE", "state": "optimized geometry", "lattice_angstrom": [[6.301, 0.000, 0.000], [0.000, 6.301, 0.000], [0.000, 0.000, 6.301]], "species": ["I", "I", "I", "Te", "La"], "fractional_positions": [[0.000, 0.500, 0.000], [0.000, 0.000, 0.500], [0.500, 0.000, 0.000], [0.500, 0.500, 0.500], [0.000, 0.000, 0.000]], "energy_ev_per_atom": -3.238, "magmom_total_mub_per_cell": 2.0}

---

No. 3
{"formula": "Mg2GaO3", "functional": "PBE", "state": "optimized geometry", "lattice_angstrom": [[4.282, 0.000, 0.000], [0.000, 6.247, 0.001], [-2.141, -1.564, 4.759]], "species": ["Mg", "Mg", "Mg", "Mg", "Ga", "Ga", "O", "O", "O", "O", "O", "O"], "fractional_positions": [[0.669, 0.584, 0.338], [0.669, 0.084, 0.338], [0.331, 0.916, 0.662], [0.331, 0.416, 0.662], [0.000, 0.750, 0.000], [0.000, 0.250, 0.000], [0.500, 0.250, 0.000], [0.500, 0.750, 0.000], [0.182, 0.091, 0.364], [0.818, 0.409, 0.636], [0.182, 0.591, 0.364], [0.818, 0.909, 0.636]], "energy_ev_per_atom": -5.564, "magmom_total_mub_per_cell": 0.0}